Entry 1:
Here is V2GePb5O12 at its PBEsol-relaxed geometry from Alexandria. Energies are from meta-GGA SCAN.

```
V2GePb5O12
1.0
10.0024 0.0000 0.0000
0.0000 7.3370 0.0000
-4.9787 0.0000 8.7713
V Ge Pb O
4 2 10 24
Direct
0.0000 0.0000 0.0000 V
0.0355 0.5000 0.7892 V
0.4108 0.0000 0.7726 V
0.6414 0.0000 0.4145 V
0.3935 0.5000 0.3774 Ge
0.6142 0.5000 0.0115 Ge
0.0163 0.0000 0.6431 Pb
0.0343 0.5000 0.1529 Pb
0.2626 0.0000 0.3852 Pb
0.2692 0.5000 0.6473 Pb
0.3602 0.2510 0.0707 Pb
0.3602 0.7490 0.0707 Pb
0.6780 0.2615 0.7286 Pb
0.6780 0.7385 0.7286 Pb
0.7585 0.5000 0.3700 Pb
0.7629 0.0000 0.1434 Pb
0.0974 0.3158 0.7320 O
0.0974 0.6842 0.7320 O
0.1277 0.5000 0.9884 O
0.1983 0.0000 0.0999 O
0.2680 0.3120 0.3006 O
0.2680 0.6880 0.3006 O
0.3149 0.0000 0.8748 O
0.3632 0.1850 0.6557 O
0.3632 0.8150 0.6557 O
0.4100 0.5000 0.9002 O
0.5024 0.5000 0.5782 O
0.5066 0.5000 0.2859 O
0.5210 0.0000 0.4923 O
0.5372 0.0000 0.2170 O
0.6094 0.0000 0.8893 O
0.6613 0.3112 0.1363 O
0.6613 0.6888 0.1363 O
0.7010 0.5000 0.8972 O
0.7601 0.1840 0.4810 O
0.7601 0.8160 0.4810 O
0.8391 0.5000 0.7121 O
0.9241 0.0000 0.8034 O
0.9297 0.1837 0.0491 O
0.9297 0.8163 0.0491 O
```

total energy = -27.2400 eV per atom
space group = Pm, No. 6

=====

Entry 2:
Here is Pr5Ge3O13 at its PBEsol-relaxed geometry from Alexandria. Energies are from meta-GGA SCAN.

```
Pr5Ge3O13
1.0
9.7881 0.0000 0.0000
-4.8940 8.4767 0.0000
0.0000 0.0000 7.2290
Pr Ge O
10 6 26
Direct
0.0085 0.2408 0.2500 Pr
0.2323 0.9915 0.2500 Pr
0.2408 0.2323 0.7500 Pr
0.3333 0.6667 0.5009 Pr
0.3333 0.6667 0.9991 Pr
0.6667 0.3333 0.0009 Pr
0.6667 0.3333 0.4991 Pr
0.7592 0.7677 0.2500 Pr
0.7677 0.0085 0.7500 Pr
0.9915 0.7592 0.7500 Pr
0.0282 0.3980 0.7500 Ge
0.3697 0.9718 0.7500 Ge
0.3980 0.3697 0.2500 Ge
0.6020 0.6303 0.7500 Ge
0.6303 0.0282 0.2500 Ge
0.9718 0.6020 0.2500 Ge
0.0000 0.0000 0.2500 O
0.0000 0.0000 0.7500 O
0.1055 0.3490 0.5540 O
0.1055 0.3490 0.9460 O
0.1319 0.6076 0.7500 O
0.1787 0.6887 0.2500 O
0.2435 0.8945 0.5540 O
0.2435 0.8945 0.9460 O
0.3113 0.4900 0.2500 O
0.3490 0.2435 0.0540 O
0.3490 0.2435 0.4460 O
0.3924 0.5244 0.7500 O
0.4756 0.8681 0.7500 O
0.4900 0.1787 0.7500 O
0.5100 0.8213 0.2500 O
0.5244 0.1319 0.2500 O
0.6076 0.4756 0.2500 O
0.6510 0.7565 0.5540 O
0.6510 0.7565 0.9460 O
0.6887 0.5100 0.7500 O
0.7565 0.1055 0.0540 O
0.7565 0.1055 0.4460 O
0.8213 0.3113 0.7500 O
0.8681 0.3924 0.2500 O
0.8945 0.6510 0.0540 O
0.8945 0.6510 0.4460 O
```

total energy = -19.8040 eV per atom
space group = P6_3/m, No. 176

=====

Entry 3:
Here is YGePt2O at its PBEsol-relaxed geometry from Alexandria. Energies are from meta-GGA SCAN.

```
YGePt2O
1.0
4.7551 0.0000 0.0000
0.0000 4.7551 0.0000
0.0000 0.0000 3.8689
Y Ge Pt O
1 1 2 1
Direct
0.0000 0.0000 0.0000 Y
0.5000 0.5000 0.5000 Ge
0.0000 0.5000 0.5000 Pt
0.5000 0.0000 0.5000 Pt
0.5000 0.5000 0.0000 O
```

total energy = -39.5187 eV per atom
space group = P4/mmm, No. 123

=====

Entry 4:
Here is Rb6Ge2O7 at its PBEsol-relaxed geometry from Alexandria. Energies are from meta-GGA SCAN.

```
Rb6Ge2O7
1.0
6.7889 0.0000 0.0000
0.0000 9.3905 0.0000
-6.5099 0.0000 9.4642
Rb Ge O
12 4 14
Direct
0.0391 0.1472 0.4189 Rb
0.0391 0.3528 0.9189 Rb
0.2072 0.5267 0.4555 Rb
0.2072 0.9733 0.9555 Rb
0.3993 0.2133 0.2795 Rb
0.3993 0.2867 0.7795 Rb
0.6007 0.7133 0.2205 Rb
0.6007 0.7867 0.7205 Rb
0.7928 0.0267 0.0445 Rb
0.7928 0.4733 0.5445 Rb
0.9609 0.6472 0.0811 Rb
0.9609 0.8528 0.5811 Rb
0.3201 0.6395 0.8710 Ge
0.3201 0.8605 0.3710 Ge
0.6799 0.1395 0.6290 Ge
0.6799 0.3605 0.1290 Ge
0.0623 0.6615 0.8711 O
0.0623 0.8385 0.3711 O
0.2551 0.5846 0.7064 O
0.2551 0.9154 0.2064 O
0.4917 0.2100 0.0651 O
0.4917 0.2900 0.5651 O
0.5000 0.0000 0.5000 O
0.5000 0.5000 0.0000 O
0.5083 0.7100 0.4349 O
0.5083 0.7900 0.9349 O
0.7449 0.0846 0.7936 O
0.7449 0.4154 0.2936 O
0.9377 0.1615 0.6289 O
0.9377 0.3385 0.1289 O
```

total energy = -15.5952 eV per atom
space group = P2_1/c, No. 14

=====

Entry 5:
Here is Rb2GeS6O21 at its PBEsol-relaxed geometry from Alexandria. Energies are from meta-GGA SCAN.

```
Rb2GeS6O21
1.0
9.7484 0.0000 0.0000
-4.8742 8.4424 0.0000
0.0000 0.0000 11.2842
Rb Ge S O
4 2 12 42
Direct
0.3333 0.6667 0.3798 Rb
0.3333 0.6667 0.9456 Rb
0.6667 0.3333 0.0544 Rb
0.6667 0.3333 0.6202 Rb
0.0000 0.0000 0.2528 Ge
0.0000 0.0000 0.7472 Ge
0.0785 0.7419 0.1619 S
0.1596 0.3454 0.6596 S
0.1858 0.8404 0.6596 S
0.2581 0.3366 0.1619 S
0.3366 0.0785 0.8381 S
0.3454 0.1858 0.3404 S
0.6546 0.8142 0.6596 S
0.6634 0.9215 0.1619 S
0.7419 0.6634 0.8381 S
0.8142 0.1596 0.3404 S
0.8404 0.6546 0.3404 S
0.9215 0.2581 0.8381 S
0.0119 0.6768 0.2966 O
0.0149 0.3784 0.9224 O
0.0503 0.8803 0.1477 O
0.0529 0.8790 0.6463 O
0.1197 0.1700 0.1477 O
0.1210 0.1739 0.6463 O
0.1541 0.7269 0.7510 O
0.1700 0.0503 0.8523 O
0.1739 0.0529 0.3537 O
0.1792 0.4139 0.5448 O
0.2098 0.4525 0.1735 O
0.2348 0.8208 0.5448 O
0.2428 0.7902 0.1735 O
0.2731 0.4273 0.7510 O
0.3232 0.3352 0.2966 O
0.3352 0.0119 0.7034 O
0.3635 0.9851 0.9224 O
0.3784 0.3635 0.0776 O
0.4139 0.2348 0.4552 O
0.4273 0.1541 0.2490 O
0.4525 0.2428 0.8265 O
0.5475 0.7572 0.1735 O
0.5727 0.8459 0.7510 O
0.5861 0.7652 0.5448 O
0.6216 0.6365 0.9224 O
0.6365 0.0149 0.0776 O
0.6648 0.9881 0.2966 O
0.6768 0.6648 0.7034 O
0.7269 0.5727 0.2490 O
0.7572 0.2098 0.8265 O
0.7652 0.1792 0.4552 O
0.7902 0.5475 0.8265 O
0.8208 0.5861 0.4552 O
0.8261 0.9471 0.6463 O
0.8300 0.9497 0.1477 O
0.8459 0.2731 0.2490 O
0.8790 0.8261 0.3537 O
0.8803 0.8300 0.8523 O
0.9471 0.1210 0.3537 O
0.9497 0.1197 0.8523 O
0.9851 0.6216 0.0776 O
0.9881 0.3232 0.7034 O
```

total energy = -9.9023 eV per atom
space group = P-3, No. 147

=====

Entry 6:
Here is GeRu3O at its PBEsol-relaxed geometry from Alexandria. Energies are from meta-GGA SCAN.

```
GeRu3O
1.0
3.9976 0.0000 0.0000
0.0000 3.9976 0.0000
0.0000 0.0000 3.9976
Ge Ru O
1 3 1
Direct
0.0000 0.0000 0.0000 Ge
0.0000 0.5000 0.5000 Ru
0.5000 0.0000 0.5000 Ru
0.5000 0.5000 0.0000 Ru
0.5000 0.5000 0.5000 O
```

total energy = -25.6697 eV per atom
space group = Pm-3m, No. 221